## LiAc3Zn8 (PBE)

Data for crystalline LiAc3Zn8 at its relaxed geometry.

abc: 5.847 5.847 8.973
angles: 90.00 90.00 120.00
Sites, in units of the cell vectors:
Ac (0.667, 0.333, 0.459)
Zn (0.025, 0.512, 0.749)
Ac (0.000, 0.000, 0.924)
Ac (0.667, 0.333, 0.056)
Li (0.000, 0.000, 0.536)
Zn (0.162, 0.838, 0.257)
Zn (0.488, 0.512, 0.749)
Zn (0.333, 0.667, 0.494)
Zn (0.676, 0.838, 0.257)
Zn (0.162, 0.324, 0.257)
Zn (0.488, 0.975, 0.749)
Zn (0.333, 0.667, 0.013)

Output
Magnetic moment = 0.00 μB/f.u.
Calculated total energy = -26.73 eV for the cell shown
Density of states at the Fermi level = 0.58 states/eV/atom
Calculated formation energy = -0.19 eV/atom